#w
Below is a relaxed structure of La3Pr2Er2, with properties calculated at the PBE level.

Magnetization = 0.000 μB per atom
Crystal system = monoclinic
Symmetry = No. 12

```
7
Lattice="5.811 -2.591 0.000 5.811 2.591 0.000 -1.062 0.000 8.113" Properties=species:S:1:pos:R:3 pbc="T T T"
La 0.000 0.000 0.000
La 1.197 0.000 3.466
La 9.363 0.000 4.647
Pr 2.404 0.000 6.952
Pr 8.156 0.000 1.161
Er 4.676 0.000 2.333
Er 5.884 0.000 5.779
```

#x
Below is a relaxed structure of La3Pr2Er2, with properties calculated at the PBE level.

Magnetization = 0.000 μB per atom
Crystal system = monoclinic
Symmetry = No. 12

```
7
Lattice="8.995 -1.784 0.000 8.995 1.784 0.000 -4.194 0.000 7.639" Properties=species:S:1:pos:R:3 pbc="T T T"
La 0.000 0.000 0.000
La 2.624 0.000 2.225
La 11.172 0.000 5.414
Pr 5.360 0.000 4.487
Pr 8.435 0.000 3.152
Er -0.861 0.000 6.362
Er 14.656 0.000 1.277
```

Short version: #x is the least stable of them.